Entry 1:
A relaxed structure of AsOsAu. Source: the Alexandria database, functional PBE-GGA.

Geometry as CIF:
```
data_AsOsAu
_space_group_name_H-M_alt 'P 1'
_space_group_IT_number 1
_cell_length_a 5.705
_cell_length_b 5.705
_cell_length_c 5.705
_cell_angle_alpha 148.56
_cell_angle_beta 148.56
_cell_angle_gamma 45.07
loop_
_space_group_symop_operation_xyz
'x,y,z'
loop_
_atom_site_label
_atom_site_type_symbol
_atom_site_fract_x
_atom_site_fract_y
_atom_site_fract_z
_atom_site_occupancy
As1 As 0.000 0.000 0.000 1
Os1 Os 0.382 0.382 0.000 1
Au1 Au 0.694 0.694 0.000 1
```

Energy of formation from the pure elements: 0.4079 eV/atom
Spin magnetization: 0.000 μB per cell
DOS(E_F): 0.2787 states/eV/atom
Excess energy over the best structure of this formula in the dataset: 1.93 kcal/mol of atoms

Entry 2:
A relaxed structure of PdRhPbW2. Source: the Alexandria database, functional PBE-GGA.

Geometry as CIF:
```
data_PdRhPbW2
_space_group_name_H-M_alt 'P 1'
_space_group_IT_number 1
_cell_length_a 4.704
_cell_length_b 4.704
_cell_length_c 5.018
_cell_angle_alpha 90.00
_cell_angle_beta 90.00
_cell_angle_gamma 90.00
loop_
_space_group_symop_operation_xyz
'x,y,z'
loop_
_atom_site_label
_atom_site_type_symbol
_atom_site_fract_x
_atom_site_fract_y
_atom_site_fract_z
_atom_site_occupancy
Pd1 Pd 0.000 0.000 0.000 1
Rh1 Rh 0.000 0.000 0.500 1
Pb1 Pb 0.500 0.500 0.000 1
W1 W 0.000 0.500 0.500 1
W2 W 0.500 0.000 0.500 1
```

Energy of formation from the pure elements: 1.5200 eV/atom
Spin magnetization: 1.829 μB per cell
DOS(E_F): 1.2557 states/eV/atom

Entry 3:
A relaxed structure of BeHg2. Source: the Alexandria database, functional PBE-GGA.

Geometry as CIF:
```
data_BeHg2
_space_group_name_H-M_alt 'P 1'
_space_group_IT_number 1
_cell_length_a 12.055
_cell_length_b 12.055
_cell_length_c 12.055
_cell_angle_alpha 165.30
_cell_angle_beta 165.30
_cell_angle_gamma 20.85
loop_
_space_group_symop_operation_xyz
'x,y,z'
loop_
_atom_site_label
_atom_site_type_symbol
_atom_site_fract_x
_atom_site_fract_y
_atom_site_fract_z
_atom_site_occupancy
Be1 Be 0.375 0.625 0.750 1
Be2 Be 0.625 0.375 0.250 1
Hg1 Hg 0.057 0.807 0.250 1
Hg2 Hg 0.193 0.943 0.250 1
Hg3 Hg 0.807 0.057 0.750 1
Hg4 Hg 0.943 0.193 0.750 1
```

Energy of formation from the pure elements: 0.4058 eV/atom
Spin magnetization: 0.000 μB per cell
DOS(E_F): 0.3470 states/eV/atom
Excess energy over the best structure of this formula in the dataset: 2.38 kcal/mol of atoms

Entry 4:
A relaxed structure of LaPm2Al. Source: the Alexandria database, functional PBE-GGA.

Geometry as CIF:
```
data_LaPm2Al
_space_group_name_H-M_alt 'P 1'
_space_group_IT_number 1
_cell_length_a 5.406
_cell_length_b 7.124
_cell_length_c 7.124
_cell_angle_alpha 59.66
_cell_angle_beta 90.00
_cell_angle_gamma 90.00
loop_
_space_group_symop_operation_xyz
'x,y,z'
loop_
_atom_site_label
_atom_site_type_symbol
_atom_site_fract_x
_atom_site_fract_y
_atom_site_fract_z
_atom_site_occupancy
La1 La 0.000 0.228 0.772 1
La2 La 0.000 0.772 0.228 1
Pm1 Pm 0.000 0.233 0.233 1
Pm2 Pm 0.500 0.057 0.591 1
Pm3 Pm 0.500 0.590 0.590 1
Pm4 Pm 0.500 0.591 0.057 1
Al1 Al 0.000 0.745 0.745 1
Al2 Al 0.500 0.083 0.083 1
```

Energy of formation from the pure elements: -0.1846 eV/atom
Spin magnetization: 0.000 μB per cell
DOS(E_F): 1.0917 states/eV/atom
Excess energy over the best structure of this formula in the dataset: 0.00 kcal/mol of atoms